VASP calculation (PBE-GGA) on BaScCuTeS2 after structural relaxation.

Cell lengths 7.560, 7.560, 10.509 Å; angles 90.00, 90.00, 149.26 degrees
Fractional positions:
Ba 0.717 0.283 0.250
Ba 0.283 0.717 0.750
Cu 0.025 0.975 0.250
Cu 0.975 0.025 0.750
S 0.111 0.889 0.064
S 0.111 0.889 0.436
S 0.889 0.111 0.564
S 0.889 0.111 0.936
Sc 0.500 0.500 0.000
Sc 0.500 0.500 0.500
Te 0.410 0.590 0.250
Te 0.590 0.410 0.750

Computed properties:
Total magnetization, μB/f.u.: 0.00
Raw total energy, eV per atom: -5.2994
Mass density, g/cm3: 4.7